VASP calculation (PBE-GGA) on a geometry-optimized MgFe structure.

**Uncorrected energy**: -56.8 eV/cell
**ρ**: 4.36 g cm⁻³

```
MgFe
1.0
4.2632 0.0000 0.0000
0.0000 4.3276 0.0000
-0.0099 0.0000 9.9210
Mg Fe
6 6
Cartesian
0.0000 0.0000 0.0000
0.0005 0.0000 6.3324
2.0386 2.1638 6.3902
2.1210 0.0000 8.2260
2.1421 0.0000 1.8935
4.1827 2.1638 1.8342
0.0816 0.0000 3.5781
1.9442 2.1638 3.5956
2.0972 2.1638 9.7651
2.2110 0.0000 4.6510
4.0720 2.1638 4.6342
4.2255 2.1638 8.3838
```


VASP calculation (PBE-GGA) on a geometry-optimized PmLuMg structure.

**Uncorrected energy**: -38.3 eV/cell
**ρ**: 5.59 g cm⁻³
**Energy above the lowest structure with this stoichiometry**: 0.000 eV/atom

```
PmLuMg
1.0
7.4225 0.0000 0.0000
0.0000 7.4225 0.0000
0.0000 0.0000 7.4225
Pm Lu Mg
4 4 4
Cartesian
0.0000 0.0000 0.0000
0.0000 3.7113 3.7113
3.7113 0.0000 3.7113
3.7113 3.7113 0.0000
0.0000 0.0000 3.7113
0.0000 3.7113 0.0000
3.7113 0.0000 0.0000
3.7113 3.7113 3.7113
1.8556 1.8556 5.5669
1.8556 5.5669 1.8556
5.5669 1.8556 1.8556
5.5669 5.5669 5.5669
```